A plane-wave DFT calculation with PBE-GGA was carried out for LaSc4Tl after structural relaxation.

Results
As for the space group: F-43m. The value obtained for the energy of formation is 0.156 eV/atom. The theoretical density is 5325 kg/m³. Its size of the total moment is 1.79 μB/f.u.

Unit cell a=6.133 b=6.133 c=6.133 alpha=60.00 beta=60.00 gamma=60.00
Sites, in units of the cell vectors:
La  0.000  0.000  0.000
Sc  0.125  0.625  0.625
Sc  0.625  0.125  0.625
Sc  0.625  0.625  0.125
Sc  0.625  0.625  0.625
Tl  0.250  0.250  0.250